{"formula": "Cs2PrSmO4", "functional": "GGA-PBE", "state": "relaxed", "volume_a3_per_cell": 164.5, "space_group": "P2/m", "total_magnetization_mub_per_cell": 0.0, "dos_at_fermi_per_ev_cell": 0.00, "formation_energy_uncorrected_ev_per_atom": -2.513, "lattice_angstrom": [[6.4017, 0.0000, 0.0000], [0.0000, 3.6964, 0.0000], [-2.1304, 0.0000, 6.9510]], "species": ["Cs", "Cs", "Pr", "Sm", "O", "O", "O", "O"], "frac_coords": [[0.0000, 0.0000, 0.0000], [0.5000, 0.5000, 0.0000], [0.0000, 0.5000, 0.5000], [0.5000, 0.0000, 0.5000], [0.2284, 0.0000, 0.6697], [0.2820, 0.5000, 0.3309], [0.7180, 0.5000, 0.6691], [0.7716, 0.0000, 0.3303]]}